Record 1
# PBE-GGA SrNb2Ga2, optimized geometry
data_SrNb2Ga2
_cell_length_a 8.375
_cell_length_b 8.375
_cell_length_c 2.932
_cell_angle_alpha 90.00
_cell_angle_beta 90.00
_cell_angle_gamma 90.00
_symmetry_space_group_name_H-M 'P 4/m b m'
_symmetry_Int_Tables_number 127
_symmetry_space_group_name_Hall '-P 4 2ab'
loop_
_atom_site_label
_atom_site_type_symbol
_atom_site_fract_x
_atom_site_fract_y
_atom_site_fract_z
Sr1 Sr 0.000 0.000 0.000
Nb1 Nb 0.117 0.383 0.500
Ga1 Ga 0.173 0.673 0.000
# Polymorph energy (0 for the lowest one)   0.00 kcal/mol of atoms
# Calculated density   6.67 g/cm³
# Formation energy   -1.9 kJ/mol of atoms

***

Record 2
# PBE-GGA RbZnPb3, optimized geometry
data_RbZnPb3
_cell_length_a 6.318
_cell_length_b 6.318
_cell_length_c 6.318
_cell_angle_alpha 90.00
_cell_angle_beta 90.00
_cell_angle_gamma 90.00
_symmetry_space_group_name_H-M 'P m -3 m'
_symmetry_Int_Tables_number 221
_symmetry_space_group_name_Hall '-P 4 2 3'
loop_
_atom_site_label
_atom_site_type_symbol
_atom_site_fract_x
_atom_site_fract_y
_atom_site_fract_z
Rb1 Rb 0.000 0.000 0.000
Zn1 Zn 0.500 0.500 0.500
Pb1 Pb 0.000 0.000 0.500
# Polymorph energy (0 for the lowest one)   29.02 kcal/mol of atoms
# Calculated density   5.09 g/cm³
# Formation energy   116.1 kJ/mol of atoms

***

Record 3
# PBE-GGA Ho3ZnIr8, optimized geometry
data_Ho3ZnIr8
_cell_length_a 5.3135
_cell_length_b 5.3135
_cell_length_c 26.0021
_cell_angle_alpha 90.00
_cell_angle_beta 90.00
_cell_angle_gamma 120.00
_symmetry_space_group_name_H-M 'R 3 m'
_symmetry_Int_Tables_number 160
_symmetry_space_group_name_Hall 'R 3 -2"'
loop_
_atom_site_label
_atom_site_type_symbol
_atom_site_fract_x
_atom_site_fract_y
_atom_site_fract_z
Ho1 Ho 0.0000 0.0000 0.0000
Ho2 Ho 0.0000 0.0000 0.1285
Ho3 Ho 0.0000 0.0000 0.6177
Zn1 Zn 0.0000 0.0000 0.4920
Ir1 Ir 0.0000 0.0000 0.3125
Ir2 Ir 0.0000 0.0000 0.8128
Ir3 Ir 0.9999 0.4999 0.0627
Ir4 Ir 0.0000 0.5000 0.5618
# Calculated density   16.44 g/cm³
# Formation energy   -56.5 kJ/mol of atoms

***

Record 4
# PBE-GGA TbTm6Al, optimized geometry
data_TbTm6Al
_cell_length_a 4.806
_cell_length_b 4.806
_cell_length_c 9.763
_cell_angle_alpha 90.00
_cell_angle_beta 90.00
_cell_angle_gamma 90.00
_symmetry_space_group_name_H-M 'P 4/m m m'
_symmetry_Int_Tables_number 123
_symmetry_space_group_name_Hall '-P 4 2'
loop_
_atom_site_label
_atom_site_type_symbol
_atom_site_fract_x
_atom_site_fract_y
_atom_site_fract_z
Tb1 Tb 0.000 0.000 0.000
Tm1 Tm 0.000 0.500 0.261
Tm2 Tm 0.500 0.500 0.000
Tm3 Tm 0.500 0.500 0.500
Al1 Al 0.000 0.000 0.500
# Calculated density   8.83 g/cm³
# Formation energy   -6.4 kJ/mol of atoms

***

Record 5
# PBE-GGA Ca6In3H2, optimized geometry
data_Ca6In3H2
_cell_length_a 4.957
_cell_length_b 4.957
_cell_length_c 24.877
_cell_angle_alpha 90.00
_cell_angle_beta 90.00
_cell_angle_gamma 90.00
_symmetry_space_group_name_H-M 'I 4/m m m'
_symmetry_Int_Tables_number 139
_symmetry_space_group_name_Hall '-I 4 2'
loop_
_atom_site_label
_atom_site_type_symbol
_atom_site_fract_x
_atom_site_fract_y
_atom_site_fract_z
Ca1 Ca 0.000 0.000 0.199
Ca2 Ca 0.000 0.500 0.082
In1 In 0.000 0.000 0.330
In2 In 0.000 0.000 0.500
H1 H 0.000 0.000 0.101
# Electronic total energy   -61.13 eV/cell
# Calculated density   3.19 g/cm³

***

Record 6
# PBE-GGA YZrRe2, optimized geometry
data_YZrRe2
_cell_length_a 3.990
_cell_length_b 3.990
_cell_length_c 9.739
_cell_angle_alpha 90.00
_cell_angle_beta 90.00
_cell_angle_gamma 90.00
_symmetry_space_group_name_H-M 'I -4 m 2'
_symmetry_Int_Tables_number 119
_symmetry_space_group_name_Hall 'I -4 -2'
loop_
_atom_site_label
_atom_site_type_symbol
_atom_site_fract_x
_atom_site_fract_y
_atom_site_fract_z
Y1 Y 0.000 0.000 0.000
Zr1 Zr 0.000 0.500 0.750
Re1 Re 0.000 0.000 0.500
Re2 Re 0.000 0.500 0.250
# Polymorph energy (0 for the lowest one)   9.48 kcal/mol of atoms
# Calculated density   11.83 g/cm³
# Formation energy   40.1 kJ/mol of atoms

***

Record 7
# PBE-GGA LiRe2Pt, optimized geometry
data_LiRe2Pt
_cell_length_a 4.322
_cell_length_b 4.322
_cell_length_c 6.131
_cell_angle_alpha 90.00
_cell_angle_beta 90.00
_cell_angle_gamma 90.00
_symmetry_space_group_name_H-M 'I -4 m 2'
_symmetry_Int_Tables_number 119
_symmetry_space_group_name_Hall 'I -4 -2'
loop_
_atom_site_label
_atom_site_type_symbol
_atom_site_fract_x
_atom_site_fract_y
_atom_site_fract_z
Li1 Li 0.000 0.000 0.000
Re1 Re 0.000 0.000 0.500
Re2 Re 0.000 0.500 0.250
Pt1 Pt 0.000 0.500 0.750
# Polymorph energy (0 for the lowest one)   2.43 kcal/mol of atoms
# Calculated density   16.66 g/cm³
# Formation energy   5.4 kJ/mol of atoms

***

Record 8
# PBE-GGA Er3AsC, optimized geometry
data_Er3AsC
_cell_length_a 15.474
_cell_length_b 3.971
_cell_length_c 7.791
_cell_angle_alpha 90.00
_cell_angle_beta 99.44
_cell_angle_gamma 90.00
_symmetry_space_group_name_H-M 'C 1 2/m 1'
_symmetry_Int_Tables_number 12
loop_
_symmetry_equiv_pos_as_xyz
'x,y,z'
'-x,-y,-z'
'-x,y,-z'
'x,-y,z'
'x+1/2,y+1/2,z'
'-x+1/2,-y+1/2,-z'
'-x+1/2,y+1/2,-z'
'x+1/2,-y+1/2,z'
loop_
_atom_site_label
_atom_site_type_symbol
_atom_site_fract_x
_atom_site_fract_y
_atom_site_fract_z
Er1 Er 0.047 0.000 0.329
Er2 Er 0.154 0.000 0.953
Er3 Er 0.181 0.500 0.625
As1 As 0.172 0.500 0.238
C1 C 0.099 0.000 0.638
# Calculated density   8.28 g/cm³
# Formation energy   -55.3 kJ/mol of atoms

***

Record 9
# PBE-GGA YMgAu4, optimized geometry
data_YMgAu4
_cell_length_a 6.235
_cell_length_b 6.246
_cell_length_c 7.147
_cell_angle_alpha 90.00
_cell_angle_beta 90.00
_cell_angle_gamma 90.00
_symmetry_space_group_name_H-M 'C m m m'
_symmetry_Int_Tables_number 65
_symmetry_space_group_name_Hall '-C 2 2'
loop_
_atom_site_label
_atom_site_type_symbol
_atom_site_fract_x
_atom_site_fract_y
_atom_site_fract_z
Y1 Y 0.000 0.000 0.000
Mg1 Mg 0.000 0.500 0.500
Au1 Au 0.250 0.250 0.277
# Polymorph energy (0 for the lowest one)   4.81 kcal/mol of atoms
# Calculated density   10.75 g/cm³
# Formation energy   -42.3 kJ/mol of atoms

***

Record 10
# PBE-GGA ScCrRu2, optimized geometry
data_ScCrRu2
_cell_length_a 6.905
_cell_length_b 6.905
_cell_length_c 5.470
_cell_angle_alpha 90.00
_cell_angle_beta 90.00
_cell_angle_gamma 90.00
_symmetry_space_group_name_H-M 'I -4 2 d'
_symmetry_Int_Tables_number 122
_symmetry_space_group_name_Hall 'I -4 2bw'
loop_
_atom_site_label
_atom_site_type_symbol
_atom_site_fract_x
_atom_site_fract_y
_atom_site_fract_z
Sc1 Sc 0.000 0.000 0.000
Cr1 Cr 0.000 0.000 0.500
Ru1 Ru 0.196 0.250 0.625
# Calculated density   7.62 g/cm³
# Formation energy   21.5 kJ/mol of atoms

***

Record 11
# PBE-GGA IrOsAu3, optimized geometry
data_IrOsAu3
_cell_length_a 4.946
_cell_length_b 4.946
_cell_length_c 4.946
_cell_angle_alpha 90.00
_cell_angle_beta 90.00
_cell_angle_gamma 90.00
_symmetry_space_group_name_H-M 'P m -3 m'
_symmetry_Int_Tables_number 221
_symmetry_space_group_name_Hall '-P 4 2 3'
loop_
_atom_site_label
_atom_site_type_symbol
_atom_site_fract_x
_atom_site_fract_y
_atom_site_fract_z
Ir1 Ir 0.000 0.000 0.000
Os1 Os 0.500 0.500 0.500
Au1 Au 0.000 0.500 0.500
# Calculated density   13.36 g/cm³
# Formation energy   199.9 kJ/mol of atoms

***

Record 12
# PBE-GGA Os2Ru3Rh3, optimized geometry
data_Os2Ru3Rh3
_cell_length_a 7.1799
_cell_length_b 7.1799
_cell_length_c 7.8202
_cell_angle_alpha 90.00
_cell_angle_beta 90.00
_cell_angle_gamma 120.00
_symmetry_space_group_name_H-M 'R 3 2'
_symmetry_Int_Tables_number 155
_symmetry_space_group_name_Hall 'R 3 2"'
loop_
_atom_site_label
_atom_site_type_symbol
_atom_site_fract_x
_atom_site_fract_y
_atom_site_fract_z
Os1 Os 0.0000 0.0000 0.2377
Ru1 Ru 0.0000 0.7075 0.0000
Rh1 Rh 0.0000 0.2746 0.5000
# Calculated density   14.16 g/cm³
# Formation energy   27.0 kJ/mol of atoms

***

Record 13
# PBE-GGA AcCrGa2Pt5, optimized geometry
data_AcCrGa2Pt5
_cell_length_a 4.097
_cell_length_b 4.097
_cell_length_c 11.075
_cell_angle_alpha 90.00
_cell_angle_beta 90.00
_cell_angle_gamma 90.00
_symmetry_space_group_name_H-M 'P 4/m m m'
_symmetry_Int_Tables_number 123
_symmetry_space_group_name_Hall '-P 4 2'
loop_
_atom_site_label
_atom_site_type_symbol
_atom_site_fract_x
_atom_site_fract_y
_atom_site_fract_z
Ac1 Ac 0.000 0.000 0.000
Cr1 Cr 0.000 0.000 0.500
Ga1 Ga 0.500 0.500 0.224
Pt1 Pt 0.000 0.500 0.357
Pt2 Pt 0.500 0.500 0.000
# Calculated density   12.45 g/cm³
# Formation energy   -49.7 kJ/mol of atoms

***

Record 14
# PBE-GGA LiPmCd2Pd4, optimized geometry
data_LiPmCd2Pd4
_cell_length_a 4.6546
_cell_length_b 4.6546
_cell_length_c 23.4702
_cell_angle_alpha 90.00
_cell_angle_beta 90.00
_cell_angle_gamma 120.00
_symmetry_space_group_name_H-M 'R -3 m'
_symmetry_Int_Tables_number 166
_symmetry_space_group_name_Hall '-R 3 2"'
loop_
_atom_site_label
_atom_site_type_symbol
_atom_site_fract_x
_atom_site_fract_y
_atom_site_fract_z
Li1 Li 0.0000 0.0000 0.0000
Pm1 Pm 0.0000 0.0000 0.5000
Cd1 Cd 0.0000 0.0000 0.2554
Pd1 Pd 0.0000 0.0000 0.1097
Pd2 Pd 0.0000 0.0000 0.3741
# Calculated density   9.08 g/cm³
# Formation energy   -52.1 kJ/mol of atoms

***

Record 15
# PBE-GGA AcTmH, optimized geometry
data_AcTmH
_cell_length_a 3.634
_cell_length_b 3.634
_cell_length_c 12.468
_cell_angle_alpha 90.00
_cell_angle_beta 90.00
_cell_angle_gamma 90.00
_symmetry_space_group_name_H-M 'I 4 m m'
_symmetry_Int_Tables_number 107
_symmetry_space_group_name_Hall 'I 4 -2'
loop_
_atom_site_label
_atom_site_type_symbol
_atom_site_fract_x
_atom_site_fract_y
_atom_site_fract_z
Ac1 Ac 0.000 0.000 0.000
Tm1 Tm 0.000 0.000 0.293
H1 H 0.000 0.000 0.468
# Polymorph energy (0 for the lowest one)   4.57 kcal/mol of atoms
# Calculated density   8.01 g/cm³

***

Record 16
# PBE-GGA Li2TlTc, optimized geometry
data_Li2TlTc
_cell_length_a 3.061
_cell_length_b 4.666
_cell_length_c 4.712
_cell_angle_alpha 90.00
_cell_angle_beta 90.00
_cell_angle_gamma 90.00
_symmetry_space_group_name_H-M 'P m m m'
_symmetry_Int_Tables_number 47
loop_
_symmetry_equiv_pos_as_xyz
'x,y,z'
'-x,-y,-z'
'-x,-y,z'
'x,y,-z'
'x,-y,-z'
'-x,y,z'
'-x,y,-z'
'x,-y,z'
loop_
_atom_site_label
_atom_site_type_symbol
_atom_site_fract_x
_atom_site_fract_y
_atom_site_fract_z
Li1 Li 0.000 0.000 0.000
Li2 Li 0.500 0.500 0.000
Tl1 Tl 0.000 0.500 0.500
Tc1 Tc 0.500 0.000 0.500
# Polymorph energy (0 for the lowest one)   0.22 kcal/mol of atoms
# Calculated density   7.80 g/cm³
# Formation energy   28.0 kJ/mol of atoms

***

Record 17
# PBE-GGA TiNbTe, optimized geometry
data_TiNbTe
_cell_length_a 3.441
_cell_length_b 5.108
_cell_length_c 7.078
_cell_angle_alpha 82.83
_cell_angle_beta 83.07
_cell_angle_gamma 76.78
_symmetry_space_group_name_H-M 'P 1'
_symmetry_Int_Tables_number 1
loop_
_symmetry_equiv_pos_as_xyz
'x,y,z'
loop_
_atom_site_label
_atom_site_type_symbol
_atom_site_fract_x
_atom_site_fract_y
_atom_site_fract_z
Ti1 Ti 0.000 0.000 0.000
Ti2 Ti 0.284 0.392 0.694
Nb1 Nb 0.664 0.577 0.366
Nb2 Nb 0.805 0.911 0.636
Te1 Te 0.320 0.135 0.331
Te2 Te 0.665 0.563 0.967
# Polymorph energy (0 for the lowest one)   3.91 kcal/mol of atoms
# Calculated density   7.45 g/cm³
# Energy relative to the elements, uncorrected   -0.196 eV/atom

***

Record 18
# PBE-GGA K2PdI5, optimized geometry
data_K2PdI5
_cell_length_a 8.332
_cell_length_b 8.332
_cell_length_c 9.709
_cell_angle_alpha 90.00
_cell_angle_beta 90.00
_cell_angle_gamma 90.00
_symmetry_space_group_name_H-M 'I 4 m m'
_symmetry_Int_Tables_number 107
_symmetry_space_group_name_Hall 'I 4 -2'
loop_
_atom_site_label
_atom_site_type_symbol
_atom_site_fract_x
_atom_site_fract_y
_atom_site_fract_z
K1 K 0.000 0.500 0.000
Pd1 Pd 0.000 0.000 0.275
I1 I 0.000 0.000 0.557
I2 I 0.228 0.228 0.247
# Polymorph energy (0 for the lowest one)   0.00 kcal/mol of atoms
# Calculated density   4.04 g/cm³
# Energy relative to the elements, uncorrected   -0.776 eV/atom

***

Record 19
# PBE-GGA Ca8Sc, optimized geometry
data_Ca8Sc
_cell_length_a 11.452
_cell_length_b 11.452
_cell_length_c 5.422
_cell_angle_alpha 90.00
_cell_angle_beta 90.00
_cell_angle_gamma 90.00
_symmetry_space_group_name_H-M 'I 4/m m m'
_symmetry_Int_Tables_number 139
_symmetry_space_group_name_Hall '-I 4 2'
loop_
_atom_site_label
_atom_site_type_symbol
_atom_site_fract_x
_atom_site_fract_y
_atom_site_fract_z
Ca1 Ca 0.000 0.327 0.000
Ca2 Ca 0.161 0.161 0.500
Sc1 Sc 0.000 0.000 0.000
# Calculated density   1.71 g/cm³
# Formation energy   8.5 kJ/mol of atoms

***

Record 20
# PBE-GGA Tb4SmTm, optimized geometry
data_Tb4SmTm
_cell_length_a 6.713
_cell_length_b 11.977
_cell_length_c 9.771
_cell_angle_alpha 90.00
_cell_angle_beta 90.00
_cell_angle_gamma 90.00
_symmetry_space_group_name_H-M 'C m c m'
_symmetry_Int_Tables_number 63
_symmetry_space_group_name_Hall '-C 2c 2'
loop_
_atom_site_label
_atom_site_type_symbol
_atom_site_fract_x
_atom_site_fract_y
_atom_site_fract_z
Tb1 Tb 0.000 0.153 0.070
Tb2 Tb 0.242 0.105 0.750
Sm1 Sm 0.000 0.325 0.750
Tm1 Tm 0.000 0.500 0.000
# Polymorph energy (0 for the lowest one)   5.45 kcal/mol of atoms
# Calculated density   8.07 g/cm³
# Formation energy   24.5 kJ/mol of atoms